[1]
This record from the Alexandria database describes a relaxed structure of La5InRh. The functional is PBE.

Calculated values
DFT formation energy = -30.7 kJ/mol of atoms

abc: 6.404 6.404 11.977
angles: 76.94 76.94 73.12
Element x y z (fractional)
La1 0.980 0.020 0.750
La2 0.020 0.980 0.250
La3 0.440 0.027 0.363
La4 0.210 0.559 0.549
La5 0.560 0.973 0.637
In1 0.450 0.550 0.250
La6 0.790 0.441 0.451
La7 0.027 0.440 0.863
La8 0.559 0.210 0.049
Rh1 0.000 0.000 0.000
La9 0.973 0.560 0.137
La10 0.441 0.790 0.951
Rh2 0.000 0.000 0.500
In2 0.550 0.450 0.750

---

[2]
This record from the Alexandria database describes a relaxed structure of La2InRh2. The functional is PBE.

Calculated values
DFT formation energy = -38.1 kJ/mol of atoms

abc: 3.894 3.894 9.252
angles: 77.85 77.85 90.00
Element x y z (fractional)
In1 0.000 0.000 0.000
La1 0.369 0.369 0.263
Rh1 0.250 0.750 0.500
La2 0.631 0.631 0.737
Rh2 0.750 0.250 0.500

---

[3]
This record from the Alexandria database describes a relaxed structure of La8In2Rh3. The functional is PBE.

Calculated values
DFT formation energy = -42.2 kJ/mol of atoms

abc: 5.101 11.397 10.039
angles: 133.36 90.00 90.00
Element x y z (fractional)
Rh1 0.500 0.000 0.000
La1 0.500 0.170 0.758
La2 0.500 0.329 0.216
La3 0.500 0.830 0.242
La4 0.000 0.396 0.760
Rh2 0.000 0.716 0.021
La5 0.000 0.035 0.195
In1 0.500 0.758 0.525
Rh3 0.000 0.284 0.979
La6 0.000 0.965 0.805
La7 0.000 0.604 0.240
La8 0.500 0.671 0.784
In2 0.500 0.242 0.475